[1]
The following is a PBE-GGA calculation of RbTe3As after structural relaxation, from Alexandria via LeMat-Bulk.

Summary:
The calculation puts the formation energy from raw total energies at -0.117 eV per atom. The value obtained for the total magnetic moment is 0.000 μB/f.u. The energy above the most stable polymorph in this dataset is 15.3 kJ per mole of atoms.

Cell lengths 5.6290, 5.6290, 5.6290 Å; angles 90.00, 90.00, 90.00 degrees
Element x y z (fractional)
1 Te 0.5000 0.0000 0.0000
2 Te 0.0000 0.0000 0.5000
3 As 0.0000 0.0000 0.0000
4 Rb 0.5000 0.5000 0.5000
5 Te 0.0000 0.5000 0.0000



[2]
The following is a PBE-GGA calculation of CdRuAu after structural relaxation, from Alexandria via LeMat-Bulk.

Summary:
The value obtained for the total magnetic moment is 1.257 μB/f.u. As for the formation energy from the elements: 15.0 kcal/mol of atoms. The energy above the most stable polymorph in this dataset is 36.1 kJ per mole of atoms.

Cell lengths 4.4553, 4.4553, 4.4553 Å; angles 60.00, 60.00, 60.00 degrees
Each line ends with the local moment (μB).
Element x y z (fractional)
1 Ru 0.7500 0.7500 0.7500  1.13
2 Au 0.0000 0.0000 0.0000  0.10
3 Cd 0.5000 0.5000 0.5000  0.00



[3]
The following is a PBE-GGA calculation of CaSi2Os4 after structural relaxation, from Alexandria via LeMat-Bulk.

Summary:
The calculation puts the formation energy from raw total energies at -0.396 eV per atom. The value obtained for the total magnetic moment is 0.000 μB/f.u.

Cell lengths 3.9673, 3.9968, 7.3922 Å; angles 105.68, 90.00, 90.00 degrees
Element x y z (fractional)
1 Si 0.5000 0.4151 0.8301
2 Os 0.5000 0.1872 0.3743
3 Os 0.0000 0.3086 0.6171
4 Os 0.5000 0.8128 0.6257
5 Ca 0.0000 0.0000 0.0000
6 Os 0.0000 0.6914 0.3829
7 Si 0.5000 0.5849 0.1699



[4]
The following is a PBE-GGA calculation of LaSc3Al after structural relaxation, from Alexandria via LeMat-Bulk.

Summary:
The value obtained for the total magnetic moment is 0.000 μB/f.u. As for the formation energy from the elements: 5.4 kcal/mol of atoms. The energy above the most stable polymorph in this dataset is 0.0 kJ per mole of atoms.

Cell lengths 5.2544, 5.2544, 5.2544 Å; angles 90.00, 90.00, 90.00 degrees
Element x y z (fractional)
1 Sc 0.0000 0.0000 0.5000
2 Sc 0.5000 0.0000 0.0000
3 Al 0.0000 0.0000 0.0000
4 Sc 0.0000 0.5000 0.0000
5 La 0.5000 0.5000 0.5000



[5]
The following is a PBE-GGA calculation of Pr2Y2Ho15 after structural relaxation, from Alexandria via LeMat-Bulk.

Summary:
The value obtained for the total magnetic moment is 1.469 μB/f.u. As for the formation energy from the elements: 6.3 kcal/mol of atoms.

Cell lengths 8.7112, 8.7112, 8.7112 Å; angles 80.57, 80.57, 80.57 degrees
Each line ends with the local moment (μB).
Element x y z (fractional)
1 Ho 0.3655 0.3655 0.8510  0.03
2 Y 0.9009 0.9009 0.9009  0.09
3 Ho 0.8510 0.3655 0.3655  0.03
4 Y 0.0991 0.0991 0.0991  0.09
5 Ho 0.0000 0.7019 0.2981  0.05
6 Ho 0.3655 0.8510 0.3655  0.03
7 Ho 0.5000 0.0000 0.0000  0.04
8 Ho 0.7019 0.0000 0.2981  0.05
9 Pr 0.6706 0.6706 0.6706  0.06
10 Ho 0.0000 0.2981 0.7019  0.05
11 Ho 0.6345 0.6345 0.1490  0.03
12 Ho 0.0000 0.0000 0.5000  0.04
13 Ho 0.7019 0.2981 0.0000  0.05
14 Ho 0.1490 0.6345 0.6345  0.03
15 Pr 0.3294 0.3294 0.3294  0.06
16 Ho 0.6345 0.1490 0.6345  0.03
17 Ho 0.0000 0.5000 0.0000  0.04
18 Ho 0.2981 0.7019 0.0000  0.05
19 Ho 0.2981 0.0000 0.7019  0.05



[6]
The following is a PBE-GGA calculation of TmPa2Fe9 after structural relaxation, from Alexandria via LeMat-Bulk.

Summary:
The value obtained for the total magnetic moment is 3.611 μB/f.u. As for the formation energy from the elements: -2.5 kcal/mol of atoms.

Cell lengths 4.8503, 4.8503, 8.8234 Å; angles 74.05, 74.05, 60.00 degrees
Each line ends with the local moment (μB).
Element x y z (fractional)
1 Fe 0.5796 0.5796 0.7597  1.27
2 Tm 0.0000 0.0000 0.0000  -0.16
3 Fe 0.4204 0.4204 0.2403  1.27
4 Fe 0.4204 0.9188 0.2403  1.27
5 Fe 0.5000 0.5000 0.5000  1.16
6 Fe 0.9188 0.4204 0.2403  1.27
7 Fe 0.5796 0.0812 0.7597  1.27
8 Pa 0.1418 0.1418 0.5746  -0.47
9 Fe 0.3329 0.3329 0.0013  -1.98
10 Pa 0.8582 0.8582 0.4254  -0.47
11 Fe 0.0812 0.5796 0.7597  1.27
12 Fe 0.6671 0.6671 0.9987  -1.98



[7]
The following is a PBE-GGA calculation of CsRb3Te4 after structural relaxation, from Alexandria via LeMat-Bulk.

Summary:
The calculation puts the formation energy from raw total energies at -0.752 eV per atom. The value obtained for the total magnetic moment is 0.000 μB/f.u. The energy above the most stable polymorph in this dataset is 0.0 kJ per mole of atoms.

Cell lengths 5.2932, 7.5257, 11.4697 Å; angles 109.15, 103.34, 90.00 degrees
Element x y z (fractional)
1 Te 0.3700 0.1845 0.7401
2 Rb 0.0000 0.5000 0.0000
3 Rb 0.7938 0.7938 0.5875
4 Te 0.6300 0.4444 0.2599
5 Cs 0.5000 0.0000 0.0000
6 Rb 0.2062 0.2062 0.4125
7 Te 0.6300 0.8155 0.2599
8 Te 0.3700 0.5556 0.7401



[8]
The following is a PBE-GGA calculation of Nd4SmGa4 after structural relaxation, from Alexandria via LeMat-Bulk.

Summary:
The value obtained for the total magnetic moment is 0.001 μB/f.u. As for the formation energy from the elements: -9.1 kcal/mol of atoms.

Cell lengths 4.8542, 10.3395, 10.3395 Å; angles 90.00, 90.00, 90.00 degrees
Element x y z (fractional)
1 Ga 0.0000 0.4296 0.6686
2 Ga 0.5000 0.1686 0.0704
3 Sm 0.0000 0.0000 0.0000
4 Ga 0.0000 0.6686 0.5704
5 Nd 0.0000 0.3541 0.1336
6 Ga 0.0000 0.3314 0.4296
7 Nd 0.5000 0.3664 0.8541
8 Nd 0.5000 0.6336 0.1459
9 Nd 0.5000 0.8541 0.6336
10 Nd 0.0000 0.6459 0.8664
11 Ga 0.5000 0.9296 0.1686
12 Nd 0.0000 0.1336 0.6459
13 Nd 0.5000 0.1459 0.3664
14 Ga 0.0000 0.5704 0.3314
15 Ga 0.5000 0.0704 0.8314
16 Ga 0.5000 0.8314 0.9296
17 Nd 0.0000 0.8664 0.3541
18 Sm 0.5000 0.5000 0.5000



Among the records above, which one has the highest total magnetic moment?
TmPa2Fe9



Look up the total magnetic moment of the fourth one.
0.000 μB/f.u.



total magnetic moment of number 7 (CsRb3Te4)?
0.000 μB/f.u.